# NiHg2PbBr | Alexandria via LeMat-Bulk | PBE | relaxed
data_NiHg2PbBr
_chemical_formula_sum 'Ni1 Hg2 Pb1 Br1'
_symmetry_space_group_name_H-M 'P 4/m m m'
_symmetry_Int_Tables_number 123
_symmetry_space_group_name_Hall '-P 4 2'
_cell_length_a 5.107
_cell_length_b 5.107
_cell_length_c 5.179
_cell_angle_alpha 90.00
_cell_angle_beta 90.00
_cell_angle_gamma 90.00
loop_
_atom_site_label
_atom_site_type_symbol
_atom_site_fract_x
_atom_site_fract_y
_atom_site_fract_z
Ni1 Ni 0.000 0.000 0.000
Hg1 Hg 0.000 0.500 0.000
Pb1 Pb 0.000 0.000 0.500
Br1 Br 0.500 0.500 0.500
# Calculated total energy   -12.279 eV for the cell shown
# M_tot   0.0 μB/cell
# Theoretical density   9.184 g cm⁻³
# Energy relative to the elements, uncorrected   -0.10 eV/atom

# Rb2NiHgBr6 | Alexandria via LeMat-Bulk | PBE | relaxed
data_Rb2NiHgBr6
_chemical_formula_sum 'Rb4 Ni2 Hg2 Br12'
_symmetry_space_group_name_H-M 'I 4/m m m'
_symmetry_Int_Tables_number 139
_symmetry_space_group_name_Hall '-I 4 2'
_cell_length_a 7.593
_cell_length_b 7.593
_cell_length_c 10.877
_cell_angle_alpha 90.00
_cell_angle_beta 90.00
_cell_angle_gamma 90.00
loop_
_atom_site_label
_atom_site_type_symbol
_atom_site_fract_x
_atom_site_fract_y
_atom_site_fract_z
Rb1 Rb 0.000 0.500 0.250
Ni1 Ni 0.000 0.000 0.000
Hg1 Hg 0.000 0.000 0.500
Br1 Br 0.000 0.000 0.226
Br2 Br 0.236 0.236 0.000
# Calculated total energy   -53.890 eV for the cell shown
# M_tot   0.9 μB/cell
# Theoretical density   4.818 g cm⁻³
# Energy relative to the elements, uncorrected   -0.89 eV/atom

# NiHgRhBr2 | Alexandria via LeMat-Bulk | PBE | relaxed
data_NiHgRhBr2
_chemical_formula_sum 'Ni1 Hg1 Rh1 Br2'
_symmetry_space_group_name_H-M 'P 4/m m m'
_symmetry_Int_Tables_number 123
_symmetry_space_group_name_Hall '-P 4 2'
_cell_length_a 4.810
_cell_length_b 4.810
_cell_length_c 5.115
_cell_angle_alpha 90.00
_cell_angle_beta 90.00
_cell_angle_gamma 90.00
loop_
_atom_site_label
_atom_site_type_symbol
_atom_site_fract_x
_atom_site_fract_y
_atom_site_fract_z
Ni1 Ni 0.000 0.000 0.000
Hg1 Hg 0.000 0.000 0.500
Rh1 Rh 0.500 0.500 0.500
Br1 Br 0.000 0.500 0.000
# Calculated total energy   -13.644 eV for the cell shown
# M_tot   1.6 μB/cell
# Theoretical density   7.324 g cm⁻³
# Energy relative to the elements, uncorrected   0.63 eV/atom

# Sc2NiHgBr | Alexandria via LeMat-Bulk | PBE | relaxed
data_Sc2NiHgBr
_chemical_formula_sum 'Sc2 Ni1 Hg1 Br1'
_symmetry_space_group_name_H-M 'P 4/m m m'
_symmetry_Int_Tables_number 123
_symmetry_space_group_name_Hall '-P 4 2'
_cell_length_a 4.920
_cell_length_b 4.920
_cell_length_c 5.477
_cell_angle_alpha 90.00
_cell_angle_beta 90.00
_cell_angle_gamma 90.00
loop_
_atom_site_label
_atom_site_type_symbol
_atom_site_fract_x
_atom_site_fract_y
_atom_site_fract_z
Sc1 Sc 0.000 0.500 0.000
Ni1 Ni 0.000 0.000 0.500
Hg1 Hg 0.500 0.500 0.500
Br1 Br 0.500 0.500 0.000
# Calculated total energy   -17.336 eV for the cell shown
# M_tot   0.5 μB/cell
# Theoretical density   5.375 g cm⁻³
# Energy relative to the elements, uncorrected   0.62 eV/atom

# Sm6Ni2HgBr3 | Alexandria via LeMat-Bulk | PBE | relaxed
data_Sm6Ni2HgBr3
_chemical_formula_sum 'Sm12 Ni4 Hg2 Br6'
_symmetry_space_group_name_H-M 'C 1 2/m 1'
_symmetry_Int_Tables_number 12
_cell_length_a 19.370
_cell_length_b 4.048
_cell_length_c 9.071
_cell_angle_alpha 90.00
_cell_angle_beta 108.35
_cell_angle_gamma 90.00
loop_
_symmetry_equiv_pos_as_xyz
'x,y,z'
'-x,-y,-z'
'-x,y,-z'
'x,-y,z'
'x+1/2,y+1/2,z'
'-x+1/2,-y+1/2,-z'
'-x+1/2,y+1/2,-z'
'x+1/2,-y+1/2,z'
loop_
_atom_site_label
_atom_site_type_symbol
_atom_site_fract_x
_atom_site_fract_y
_atom_site_fract_z
Sm1 Sm 0.022 0.000 0.264
Sm2 Sm 0.164 0.500 0.132
Sm3 Sm 0.181 0.500 0.563
Ni1 Ni 0.170 0.000 0.346
Hg1 Hg 0.000 0.500 0.000
Br1 Br 0.000 0.500 0.500
Br2 Br 0.165 0.000 0.839
# Calculated total energy   -108.968 eV for the cell shown
# M_tot   0.0 μB/cell
# Theoretical density   7.183 g cm⁻³
# Energy relative to the elements, uncorrected   -0.77 eV/atom

# YNiHgBr2 | Alexandria via LeMat-Bulk | PBE | relaxed
data_YNiHgBr2
_chemical_formula_sum 'Y1 Ni1 Hg1 Br2'
_symmetry_space_group_name_H-M 'P 4/m m m'
_symmetry_Int_Tables_number 123
_symmetry_space_group_name_Hall '-P 4 2'
_cell_length_a 4.889
_cell_length_b 4.889
_cell_length_c 5.333
_cell_angle_alpha 90.00
_cell_angle_beta 90.00
_cell_angle_gamma 90.00
loop_
_atom_site_label
_atom_site_type_symbol
_atom_site_fract_x
_atom_site_fract_y
_atom_site_fract_z
Y1 Y 0.000 0.000 0.000
Ni1 Ni 0.000 0.000 0.500
Hg1 Hg 0.500 0.500 0.000
Br1 Br 0.000 0.500 0.500
# Calculated total energy   -17.091 eV for the cell shown
# M_tot   0.0 μB/cell
# Theoretical density   6.617 g cm⁻³
# Energy relative to the elements, uncorrected   -0.24 eV/atom

# Np2HgBr7 | Alexandria via LeMat-Bulk | PBE | relaxed
data_Np2HgBr7
_chemical_formula_sum 'Np4 Hg2 Br14'
_symmetry_space_group_name_H-M 'C m m m'
_symmetry_Int_Tables_number 65
_symmetry_space_group_name_Hall '-C 2 2'
_cell_length_a 8.897
_cell_length_b 14.941
_cell_length_c 5.706
_cell_angle_alpha 90.00
_cell_angle_beta 90.00
_cell_angle_gamma 90.00
loop_
_atom_site_label
_atom_site_type_symbol
_atom_site_fract_x
_atom_site_fract_y
_atom_site_fract_z
Np1 Np 0.000 0.195 0.000
Hg1 Hg 0.000 0.500 0.500
Br1 Br 0.000 0.000 0.000
Br2 Br 0.000 0.195 0.500
Br3 Br 0.187 0.357 0.000
# Calculated total energy   -97.549 eV for the cell shown
# M_tot   14.0 μB/cell
# Theoretical density   5.403 g cm⁻³
# Energy relative to the elements, uncorrected   -1.09 eV/atom

# NpHg2Br6 | Alexandria via LeMat-Bulk | PBE | relaxed
data_NpHg2Br6
_chemical_formula_sum 'Np3 Hg6 Br18'
_symmetry_space_group_name_H-M 'R 3'
_symmetry_Int_Tables_number 146
_symmetry_space_group_name_Hall 'R 3'
_cell_length_a 7.8850
_cell_length_b 7.8850
_cell_length_c 19.2651
_cell_angle_alpha 90.00
_cell_angle_beta 90.00
_cell_angle_gamma 120.00
loop_
_atom_site_label
_atom_site_type_symbol
_atom_site_fract_x
_atom_site_fract_y
_atom_site_fract_z
Np1 Np 0.0000 0.0000 0.0000
Hg1 Hg 0.0000 0.0000 0.2012
Hg2 Hg 0.0000 0.0000 0.3413
Br1 Br 0.0137 0.4442 0.7588
Br2 Br 0.1168 0.7740 0.5909
# Calculated total energy   -92.417 eV for the cell shown
# M_tot   8.6 μB/cell
# Theoretical density   5.367 g cm⁻³
# Energy relative to the elements, uncorrected   -0.80 eV/atom